! Mg2Ni3 | OQMD via LeMat-Bulk | GGA-PBE | optimized geometry; values from VASP
&SYSTEM
  ibrav = 0, nat = 10, ntyp = 2
/
ATOMIC_SPECIES
Mg 24.30 Mg.upf
Ni 58.69 Ni.upf
CELL_PARAMETERS angstrom
3.0700 1.7725 4.5468
-3.0700 1.7725 4.5468
0.0000 -3.5450 4.5468
ATOMIC_POSITIONS angstrom
Mg 0.0000 0.0000 1.3296
Mg 0.0000 0.0000 5.4905
Mg 0.0000 0.0000 8.1497
Mg 0.0000 0.0000 12.3107
Ni -0.7053 -1.2216 3.4101
Ni -0.7053 1.2216 3.4101
Ni 1.4106 0.0000 3.4101
Ni -1.4106 0.0000 10.2302
Ni 0.7053 -1.2216 10.2302
Ni 0.7053 1.2216 10.2302
! - symmetry = R-3c
! - total DFT energy (no corrections) (eV/f.u.) = -18.028